Entry from the Alexandria database: a relaxed structure of NaSrLiMo2 (PBE).

Properties
calculated formation energy = 1.413 eV/atom
symmetry = P4/mmm
D(E_F) = 1.352 states/eV per atom
magnetization = 0.00 μB/f.u.

Lattice parameters (Å, degrees): 4.5136 5.3667 4.5136 90.00 90.00 90.00
Element x y z (fractional)
Sr  0.5000  0.5000  0.5000
Mo  0.0000  0.0000  0.5000
Mo  0.5000  0.0000  0.0000
Li  0.0000  0.0000  0.0000
Na  0.0000  0.5000  0.0000


Entry from the Alexandria database: a relaxed structure of NaLiMoW2 (PBE).

Properties
calculated formation energy = 1.620 eV/atom
symmetry = P4/mmm
D(E_F) = 0.814 states/eV per atom
magnetization = 0.00 μB/f.u.

Lattice parameters (Å, degrees): 4.6018 3.6116 4.6018 90.00 90.00 90.00
Element x y z (fractional)
Na  0.0000  0.5000  0.0000
Mo  0.5000  0.5000  0.5000
W  0.0000  0.0000  0.5000
W  0.5000  0.0000  0.0000
Li  0.0000  0.0000  0.0000


Entry from the Alexandria database: a relaxed structure of Li2NbMo (PBE).

Properties
calculated formation energy = 0.729 eV/atom
symmetry = Fm-3m
D(E_F) = 1.005 states/eV per atom
magnetization = 0.34 μB/f.u.

Lattice parameters (Å, degrees): 4.3323 4.3323 4.3323 60.00 60.00 60.00
Site moments in Bohr magnetons follow the coordinates.
Element x y z (fractional)
Mo  0.5000  0.5000  0.5000  0.45
Nb  0.0000  0.0000  0.0000  -0.13
Li  0.2500  0.2500  0.2500  0.00
Li  0.7500  0.7500  0.7500  0.00


Entry from the Alexandria database: a relaxed structure of Li2NbMo (PBE).

Properties
calculated formation energy = 0.811 eV/atom
symmetry = I-42d
D(E_F) = 0.691 states/eV per atom
magnetization = 0.00 μB/f.u.

Lattice parameters (Å, degrees): 7.1708 7.1708 5.6354 50.49 50.49 90.00
Element x y z (fractional)
Mo  0.0000  0.0000  0.0000
Mo  0.7500  0.2500  0.5000
Nb  0.5000  0.5000  0.0000
Nb  0.2500  0.7500  0.5000
Li  0.6327  0.1250  0.2500
Li  0.1173  0.6250  0.2500
Li  0.3750  0.3673  0.7500
Li  0.8750  0.8827  0.7500


Entry from the Alexandria database: a relaxed structure of LiNbNiMo2 (PBE).

Properties
calculated formation energy = 1.249 eV/atom
symmetry = P4/mmm
D(E_F) = 1.190 states/eV per atom
magnetization = 0.00 μB/f.u.

Lattice parameters (Å, degrees): 4.1587 4.3199 4.1587 90.00 90.00 90.00
Element x y z (fractional)
Ni  0.5000  0.5000  0.5000
Mo  0.0000  0.0000  0.5000
Mo  0.5000  0.0000  0.0000
Nb  0.0000  0.5000  0.0000
Li  0.0000  0.0000  0.0000